Entry from Alexandria: EuInGe2 after structural relaxation (PBE).

a = 4.7588 Å, b = 4.7588 Å, c = 5.7757 Å
α = 65.67°, β = 65.67°, γ = 60.00°
Closest atoms and distances in Å follow each position.
Atoms (fractional coordinates):
Eu  0.5000  0.5000  0.5000  8 Ge 3.26-3.33
Ge  0.2814  0.2814  0.1557  3 In 2.86, 3 Ge 3.17
Ge  0.7186  0.7186  0.8443  3 In 2.86, 3 Ge 3.17
In  0.0000  0.0000  0.0000  6 Ge 2.86

* uncorrected energy: -5.79 eV per atom
* theoretical density: 6.87 g/cm3
* energy above the lowest structure with this stoichiometry: 117 meV/atom
* N(E_F): 3.05 states/eV/cell
* energy of formation from the pure elements: -0.230 eV per atom
* SG: No. 166